Here is ScB12 after structural relaxation from the Alexandria database. Energies are from PBE-GGA.

For the energy relative to the elements, the calculation gives -0.20 eV/atom. For the total energy, the calculation gives -356.3 eV for the cell shown.

The structure belongs to space group Fm-3m (No. 225); the cell edges are 7.414, 7.414 and 7.414 Å and the angles 90.00°, 90.00° and 90.00°. The inequivalent atoms are Sc at (0.000, 0.000, 0.000) and B at (0.000, 0.169, 0.331).

Here is Sc4B after structural relaxation from the Alexandria database. Energies are from PBE-GGA.

For the energy relative to the elements, the calculation gives -0.02 eV/atom. For the total energy, the calculation gives -32.1 eV for the cell shown.

The structure belongs to space group Pm-3m (No. 221); the cell edges are 4.770, 4.770 and 4.770 Å and the angles 90.00°, 90.00° and 90.00°. The inequivalent atoms are Sc at (0.000, 0.000, 0.000), Sc at (0.000, 0.500, 0.500) and B at (0.500, 0.500, 0.500).

Q: Number 2 is which compound?
A: Sc4B

Q: Look up the energy relative to the elements of the first one.
A: -0.20 eV/atom